{
  "formula": "PaNbTe3",
  "functional": "PBE",
  "state": "optimized geometry",
  "lattice_angstrom": [[3.940, 0.000, 0.000], [-1.970, 7.760, 0.162], [0.000, -0.187, 8.979]],
  "species": ["Te", "Nb", "Te", "Pa", "Pa", "Nb", "Te", "Te", "Te", "Te"],
  "frac_coords": [[0.971, 0.974, 0.031], [0.813, 0.659, 0.815], [0.636, 0.305, 0.761], [0.624, 0.280, 0.121], [0.420, 0.874, 0.301], [0.231, 0.495, 0.606], [0.273, 0.580, 0.044], [0.408, 0.849, 0.661], [0.770, 0.574, 0.377], [0.073, 0.180, 0.391]],
  "formation_energy_uncorrected_ev_per_atom": -0.6769,
  "polymorph_energy_ev_per_fu": 0.000,
  "magnetic_moment_mub_per_cell": 2.4,
  "total_energy_ev_per_atom": -6.475,
  "mass_density_g_cm3": 8.5
}

---

{
  "formula": "PaNb2Tl2Te6",
  "functional": "PBE",
  "state": "optimized geometry",
  "lattice_angstrom": [[6.878, -0.195, 0.009], [-3.569, 5.883, 0.009], [-1.234, -2.121, 8.785]],
  "species": ["Te", "Te", "Tl", "Tl", "Te", "Nb", "Te", "Pa", "Te", "Te", "Nb"],
  "frac_coords": [[0.572, 0.914, 0.282], [0.086, 0.428, 0.718], [0.148, 0.852, 0.000], [0.852, 0.148, 0.000], [0.914, 0.572, 0.282], [0.308, 0.692, 0.500], [0.428, 0.086, 0.718], [0.000, 0.000, 0.500], [0.297, 0.297, 0.309], [0.703, 0.703, 0.691], [0.692, 0.308, 0.500]],
  "formation_energy_uncorrected_ev_per_atom": -0.4581,
  "magnetic_moment_mub_per_cell": 0.0,
  "total_energy_ev_per_atom": -5.296,
  "mass_density_g_cm3": 7.6
}

---

{
  "formula": "PaTiNb14",
  "functional": "PBE",
  "state": "optimized geometry",
  "lattice_angstrom": [[5.760, 0.181, 0.000], [-2.091, 5.370, 0.000], [0.000, 0.000, 9.447]],
  "species": ["Nb", "Ti", "Nb", "Nb", "Nb", "Nb", "Nb", "Nb", "Nb", "Nb", "Nb", "Nb", "Nb", "Pa", "Nb", "Nb"],
  "frac_coords": [[0.381, 0.619, 0.752], [0.625, 0.375, 0.500], [0.880, 0.630, 0.751], [0.625, 0.875, 0.500], [0.869, 0.131, 0.752], [0.880, 0.630, 0.249], [0.625, 0.375, 0.000], [0.125, 0.375, 0.000], [0.381, 0.619, 0.248], [0.370, 0.120, 0.249], [0.125, 0.875, 0.000], [0.869, 0.131, 0.248], [0.125, 0.375, 0.500], [0.125, 0.875, 0.500], [0.370, 0.120, 0.751], [0.625, 0.875, 0.000]],
  "magnetic_moment_mub_per_cell": 0.0,
  "e_form_ev_per_atom": -0.010,
  "total_energy_ev_per_atom": -9.908,
  "mass_density_g_cm3": 8.9
}

---

{
  "formula": "PaTiNb4",
  "functional": "PBE",
  "state": "optimized geometry",
  "lattice_angstrom": [[-1.832, -2.761, -4.452], [3.159, -0.335, -4.551], [2.324, -4.838, -1.415]],
  "species": ["Ti", "Nb", "Pa", "Nb", "Nb", "Nb"],
  "frac_coords": [[0.000, 0.000, 0.000], [0.625, 0.126, 0.625], [0.250, 0.250, 0.250], [0.126, 0.625, 0.625], [0.625, 0.625, 0.126], [0.625, 0.625, 0.625]],
  "magnetic_moment_mub_per_cell": 0.0,
  "e_form_ev_per_atom": 0.181,
  "total_energy_ev_per_atom": -9.430,
  "mass_density_g_cm3": 8.9
}

---

{
  "formula": "PaTiNb2",
  "functional": "PBE",
  "state": "optimized geometry",
  "lattice_angstrom": [[4.784, 0.000, 0.000], [2.392, 4.143, 0.000], [2.392, 1.381, 3.906]],
  "species": ["Nb", "Pa", "Ti", "Nb"],
  "frac_coords": [[0.250, 0.250, 0.250], [0.000, 0.000, 0.000], [0.500, 0.500, 0.500], [0.750, 0.750, 0.750]],
  "polymorph_energy_ev_per_fu": 0.000,
  "magnetic_moment_mub_per_cell": 0.0,
  "e_form_ev_per_atom": -0.033,
  "total_energy_ev_per_atom": -9.416,
  "mass_density_g_cm3": 10.0
}

---

{
  "formula": "PaTi2Nb2",
  "functional": "PBE",
  "state": "optimized geometry",
  "lattice_angstrom": [[4.609, 0.000, 0.000], [0.000, 5.680, 0.000], [0.000, 0.000, 7.856]],
  "species": ["Nb", "Nb", "Pa", "Ti", "Nb", "Ti", "Pa", "Ti", "Nb", "Ti"],
  "frac_coords": [[0.000, 0.570, 0.167], [0.000, 0.930, 0.667], [0.000, 0.500, 0.500], [0.500, 0.305, 0.166], [0.000, 0.430, 0.833], [0.500, 0.195, 0.666], [0.000, 0.000, 0.000], [0.500, 0.695, 0.834], [0.000, 0.070, 0.333], [0.500, 0.805, 0.334]],
  "magnetic_moment_mub_per_cell": 0.0,
  "e_form_ev_per_atom": 0.346,
  "total_energy_ev_per_atom": -8.739,
  "mass_density_g_cm3": 8.3
}

---

{
  "formula": "PaTi4Nb",
  "functional": "PBE",
  "state": "optimized geometry",
  "lattice_angstrom": [[-4.010, 3.401, -1.110], [-1.405, 0.923, -5.104], [-4.671, -1.876, -1.883]],
  "species": ["Ti", "Pa", "Ti", "Ti", "Ti", "Nb"],
  "frac_coords": [[0.625, 0.625, 0.625], [0.000, 0.000, 0.000], [0.125, 0.625, 0.625], [0.625, 0.125, 0.625], [0.625, 0.625, 0.125], [0.250, 0.250, 0.250]],
  "polymorph_energy_ev_per_fu": 0.687,
  "magnetic_moment_mub_per_cell": 0.0,
  "e_form_ev_per_atom": 0.156,
  "total_energy_ev_per_atom": -8.369,
  "mass_density_g_cm3": 7.8
}

---

{
  "formula": "PaTi3Nb",
  "functional": "PBE",
  "state": "optimized geometry",
  "lattice_angstrom": [[-1.138, 3.129, -3.294], [-4.491, 1.107, -0.727], [-1.913, 6.856, 7.170]],
  "species": ["Nb", "Ti", "Ti", "Pa", "Ti", "Ti", "Ti", "Pa", "Nb", "Ti"],
  "frac_coords": [[0.895, 0.779, 0.182], [0.391, 0.787, 0.670], [0.493, 0.583, 0.976], [0.594, 0.381, 0.279], [0.693, 0.183, 0.575], [0.297, 0.974, 0.389], [0.995, 0.578, 0.484], [0.094, 0.380, 0.780], [0.794, 0.982, 0.877], [0.195, 0.178, 0.083]],
  "magnetic_moment_mub_per_cell": 0.0,
  "e_form_ev_per_atom": 0.017,
  "total_energy_ev_per_atom": -8.633,
  "mass_density_g_cm3": 8.4
}

---

{
  "formula": "PaTiNb2",
  "functional": "PBE",
  "state": "optimized geometry",
  "lattice_angstrom": [[-3.388, 0.484, -0.119], [0.057, -0.431, -3.396], [-0.958, -6.504, 0.809]],
  "species": ["Nb", "Ti", "Nb", "Pa"],
  "frac_coords": [[0.000, 0.000, 0.252], [0.500, 0.500, 0.000], [0.000, 0.000, 0.748], [0.500, 0.500, 0.500]],
  "polymorph_energy_ev_per_fu": 0.491,
  "magnetic_moment_mub_per_cell": 0.0,
  "e_form_ev_per_atom": 0.089,
  "total_energy_ev_per_atom": -9.293,
  "mass_density_g_cm3": 9.9
}

---

{
  "formula": "PaTi4Nb2",
  "functional": "PBE",
  "state": "optimized geometry",
  "lattice_angstrom": [[4.963, 0.881, -2.312], [-1.673, 4.284, -2.695], [0.726, 0.625, 10.969]],
  "species": ["Pa", "Ti", "Ti", "Nb", "Ti", "Ti", "Ti", "Nb", "Pa", "Nb", "Ti", "Nb", "Ti", "Ti"],
  "frac_coords": [[0.053, 0.012, 0.136], [0.711, 0.376, 0.007], [0.796, 0.894, 0.529], [0.625, 0.375, 0.750], [0.354, 0.863, 0.705], [0.039, 0.351, 0.481], [0.897, 0.887, 0.795], [0.125, 0.375, 0.750], [0.197, 0.738, 0.364], [0.625, 0.875, 0.250], [0.539, 0.374, 0.493], [0.625, 0.375, 0.250], [0.211, 0.400, 0.019], [0.454, 0.856, 0.971]],
  "magnetic_moment_mub_per_cell": 0.0,
  "e_form_ev_per_atom": 0.119,
  "total_energy_ev_per_atom": -8.626,
  "mass_density_g_cm3": 7.6
}

---

{
  "formula": "PaTiNb2",
  "functional": "PBE",
  "state": "optimized geometry",
  "lattice_angstrom": [[-0.701, -0.843, -2.787], [0.763, -2.727, -0.976], [-8.996, -4.928, 2.143]],
  "species": ["Pa", "Nb", "Ti", "Nb"],
  "frac_coords": [[0.000, 0.000, 0.000], [0.757, 0.757, 0.728], [0.500, 0.500, 0.500], [0.243, 0.243, 0.272]],
  "polymorph_energy_ev_per_fu": 1.078,
  "magnetic_moment_mub_per_cell": 0.0,
  "e_form_ev_per_atom": 0.236,
  "total_energy_ev_per_atom": -9.147,
  "mass_density_g_cm3": 9.6
}

---

{
  "formula": "Pa2Ti8Nb",
  "functional": "PBE",
  "state": "optimized geometry",
  "lattice_angstrom": [[5.153, -1.141, -1.445], [-1.902, 6.967, 4.883], [-1.986, 2.496, 8.114]],
  "species": ["Ti", "Ti", "Nb", "Ti", "Ti", "Pa", "Ti", "Ti", "Ti", "Pa", "Ti"],
  "frac_coords": [[0.226, 0.652, 0.182], [0.852, 0.752, 0.752], [0.000, 0.000, 0.000], [0.774, 0.348, 0.818], [0.735, 0.412, 0.412], [0.441, 0.806, 0.806], [0.148, 0.248, 0.248], [0.226, 0.182, 0.652], [0.265, 0.588, 0.588], [0.559, 0.194, 0.194], [0.774, 0.818, 0.348]],
  "magnetic_moment_mub_per_cell": 0.0,
  "e_form_ev_per_atom": 0.160,
  "total_energy_ev_per_atom": -8.224,
  "mass_density_g_cm3": 7.5
}